Record 1
A relaxed GdScAg crystal, computed with PBE.

Cell lengths 3.6412, 4.8939, 4.8939 Å; angles 120.00, 90.00, 90.00 degrees
Element x y z (fractional)
Sc: 0.1392 0.0000 0.0000
Gd: 0.6536 0.6667 0.3333
Ag: 0.2073 0.3333 0.6667

Output
As for the formation energy from the elements: -0.03 eV/atom. The relative energy among the computed polymorphs comes out at 3.13 kcal/mol of atoms. The density comes out at 6.8 g/cm³.


Record 2
A relaxed GdScSiAg crystal, computed with PBE.

Cell lengths 4.9309, 4.9309, 4.9309 Å; angles 60.00, 60.00, 60.00 degrees
Element x y z (fractional)
Sc: 0.5000 0.5000 0.5000
Si: 0.7500 0.7500 0.7500
Gd: 0.0000 0.0000 0.0000
Ag: 0.2500 0.2500 0.2500

Output
The density comes out at 6.6 g/cm³. The formation energy from raw total energies comes out at -9.9 kcal/mol of atoms.


Record 3
A relaxed SmGdScAg crystal, computed with PBE.

Cell lengths 5.3230, 5.3230, 5.3230 Å; angles 60.00, 60.00, 60.00 degrees
Element x y z (fractional)
Sc: 0.7500 0.7500 0.7500
Gd: 0.5000 0.5000 0.5000
Ag: 0.2500 0.2500 0.2500
Sm: 0.0000 0.0000 0.0000

Output
As for the formation energy from the elements: 0.03 eV/atom. The density comes out at 7.2 g/cm³.


Record 4
A relaxed TbGdScAg crystal, computed with PBE.

Cell lengths 5.2885, 5.2885, 5.2885 Å; angles 60.00, 60.00, 60.00 degrees
Element x y z (fractional)
Sc: 0.2500 0.2500 0.2500
Gd: 0.0000 0.0000 0.0000
Tb: 0.5000 0.5000 0.5000
Ag: 0.7500 0.7500 0.7500

Output
As for the formation energy from the elements: 0.03 eV/atom. The density comes out at 7.4 g/cm³.


Record 5
A relaxed GdScTcAg crystal, computed with PBE.

Cell lengths 4.8571, 4.8571, 4.8571 Å; angles 60.00, 60.00, 60.00 degrees
Element x y z (fractional)
Sc: 0.5000 0.5000 0.5000
Gd: 0.0000 0.0000 0.0000
Tc: 0.7500 0.7500 0.7500
Ag: 0.2500 0.2500 0.2500

Output
As for the formation energy from the elements: -0.13 eV/atom. The density comes out at 8.4 g/cm³.


Record 6
A relaxed GdTmScAg crystal, computed with PBE.

Cell lengths 5.2540, 5.2540, 5.2540 Å; angles 60.00, 60.00, 60.00 degrees
Element x y z (fractional)
Gd: 0.0000 0.0000 0.0000
Sc: 0.7500 0.7500 0.7500
Tm: 0.5000 0.5000 0.5000
Ag: 0.2500 0.2500 0.2500

Output
As for the formation energy from the elements: 0.03 eV/atom. The density comes out at 7.8 g/cm³.


Record 7
A relaxed GdYScAg crystal, computed with PBE.

Cell lengths 5.2907, 5.2907, 5.2907 Å; angles 60.00, 60.00, 60.00 degrees
Element x y z (fractional)
Y: 0.7500 0.7500 0.7500
Sc: 0.5000 0.5000 0.5000
Gd: 0.2500 0.2500 0.2500
Ag: 0.0000 0.0000 0.0000

Output
As for the formation energy from the elements: 0.03 eV/atom. The density comes out at 6.3 g/cm³.


Record 8
A relaxed GdScZnAg crystal, computed with PBE.

Cell lengths 4.9949, 4.9949, 4.9949 Å; angles 60.00, 60.00, 60.00 degrees
Element x y z (fractional)
Sc: 0.5000 0.5000 0.5000
Zn: 0.7500 0.7500 0.7500
Gd: 0.0000 0.0000 0.0000
Ag: 0.2500 0.2500 0.2500

Output
As for the formation energy from the elements: -0.28 eV/atom. The density comes out at 7.1 g/cm³.


Record 9
A relaxed GdAgSe2 crystal, computed with PBE.

Cell lengths 4.2282, 4.2282, 6.8355 Å; angles 71.98, 71.98, 60.00 degrees
Element x y z (fractional)
Gd: 0.0000 0.0000 0.0000
Se: 0.2504 0.2504 0.2488
Se: 0.7496 0.7496 0.7512
Ag: 0.5000 0.5000 0.5000

Output
The density comes out at 7.1 g/cm³. The formation energy from raw total energies comes out at -27.3 kcal/mol of atoms.


Record 10
A relaxed Gd3Ag5Se12 crystal, computed with PBE.

Cell lengths 13.9868, 13.9868, 13.9868 Å; angles 109.47, 109.47, 109.47 degrees
Element x y z (fractional)
Gd: 0.7500 0.3750 0.1250
Gd: 0.8750 0.7500 0.1250
Gd: 0.3750 0.7500 0.6250
Gd: 0.2500 0.1250 0.3750
Gd: 0.8750 0.1250 0.2500
Gd: 0.3750 0.6250 0.2500
Gd: 0.6250 0.3750 0.7500
Gd: 0.1250 0.8750 0.7500
Gd: 0.7500 0.8750 0.6250
Gd: 0.6250 0.2500 0.3750
Gd: 0.1250 0.2500 0.8750
Gd: 0.2500 0.6250 0.8750
Ag: 0.1250 0.3750 0.2500
Ag: 0.0000 0.5000 0.0000
Ag: 0.0000 0.0000 0.0000
Ag: 0.3750 0.2500 0.1250
Ag: 0.5000 0.0000 0.5000
Ag: 0.5000 0.5000 0.0000
Ag: 0.1250 0.7500 0.3750
Ag: 0.7500 0.1250 0.8750
Ag: 0.7500 0.6250 0.3750
Ag: 0.3750 0.1250 0.7500
Ag: 0.6250 0.8750 0.2500
Ag: 0.5000 0.5000 0.5000
Ag: 0.5000 0.0000 0.0000
Ag: 0.0000 0.0000 0.5000
Ag: 0.2500 0.3750 0.6250
Ag: 0.2500 0.8750 0.1250
Ag: 0.0000 0.5000 0.5000
Ag: 0.8750 0.2500 0.6250
Ag: 0.6250 0.7500 0.8750
Ag: 0.8750 0.6250 0.7500
Se: 0.7165 0.1347 0.0483
Se: 0.3318 0.5483 0.4136
Se: 0.9517 0.3653 0.2835
Se: 0.5483 0.2165 0.1347
Se: 0.5818 0.7165 0.6682
Se: 0.9517 0.5864 0.1682
Se: 0.3318 0.7835 0.4182
Se: 0.0864 0.9182 0.1347
Se: 0.5864 0.9517 0.6682
Se: 0.7165 0.5818 0.1682
Se: 0.7835 0.4517 0.3653
Se: 0.8318 0.9136 0.0483
Se: 0.1347 0.7165 0.5483
Se: 0.3653 0.4136 0.0818
Se: 0.0818 0.9136 0.3653
Se: 0.4182 0.1347 0.5864
Se: 0.0818 0.1682 0.2165
Se: 0.4517 0.6682 0.0864
Se: 0.8318 0.9182 0.2835
Se: 0.1347 0.4182 0.0864
Se: 0.3653 0.9517 0.7835
Se: 0.5864 0.6347 0.4182
Se: 0.9136 0.8318 0.5483
Se: 0.7835 0.3318 0.9182
Se: 0.4136 0.3653 0.5818
Se: 0.0864 0.1682 0.4517
Se: 0.2165 0.6682 0.0818
Se: 0.1682 0.0818 0.7165
Se: 0.6347 0.0483 0.2165
Se: 0.8653 0.5818 0.9136
Se: 0.5483 0.3318 0.9136
Se: 0.5818 0.8653 0.4136
Se: 0.9182 0.8318 0.7835
Se: 0.9182 0.0864 0.6347
Se: 0.8653 0.2835 0.4517
Se: 0.1682 0.0864 0.9517
Se: 0.6347 0.5864 0.9182
Se: 0.4136 0.0483 0.3318
Se: 0.2835 0.4182 0.8318
Se: 0.2165 0.5483 0.6347
Se: 0.9136 0.0818 0.8653
Se: 0.6682 0.2165 0.5818
Se: 0.4517 0.7835 0.8653
Se: 0.0483 0.4136 0.8318
Se: 0.4182 0.2835 0.3318
Se: 0.0483 0.6347 0.7165
Se: 0.6682 0.4517 0.5864
Se: 0.2835 0.8653 0.9517

Output
The density comes out at 6.2 g/cm³. The formation energy from raw total energies comes out at -12.7 kcal/mol of atoms.